Computed, not measured: a relaxed ZrSc crystal at the PBE level of DFT.

Lattice parameters (Å, degrees): 3.595 3.595 3.595 90.00 90.00 90.00
Sites, in units of the cell vectors:
Sc 0.000 0.000 0.000
Zr 0.500 0.500 0.500

Computed properties:
Its space group is Pm-3m, No. 221. As for the density of states at the Fermi level: 3.76 states/eV/cell. For the formation enthalpy at 0 K, the calculation gives 0.14 eV per atom. For the mass density, the calculation gives 4867 kg/m³. The total magnetic moment comes out at 0.00 μB per formula unit.